Below is TbV2O4 after structural relaxation, with properties calculated at the PBE with a Hubbard U level.

```
TbV2O4
1.0
5.624 0.396 -1.888
-2.835 4.903 -1.810
-0.227 -0.330 6.054
Tb O V
2 8 4
direct
0.255 0.755 0.500
0.995 0.995 0.000
0.918 0.235 0.316
0.333 0.515 0.184
0.919 0.601 0.684
0.331 0.149 0.816
0.473 0.665 0.815
0.400 0.092 0.315
0.777 0.085 0.685
0.850 0.657 0.185
0.625 0.875 0.250
0.625 0.375 0.250
0.125 0.375 0.750
0.625 0.375 0.750
```

Summary:
- E_tot: -113.17 eV for the cell shown
- V: 11.90 A^3/atom